5
Lattice="5.152 0.000 0.000 0.000 5.152 0.000 0.000 0.000 4.791" Properties=species:S:1:pos:R:3 comment="Zr2TaTcBr | the Alexandria database | PBE | relaxed" spacegroup="P4/mmm, No. 123" formation_energy_uncorrected_ev_per_atom=0.690 pbc="T T T"
Zr 0.000 2.576 0.000
Zr 2.576 0.000 0.000
Ta 0.000 0.000 2.396
Tc 0.000 0.000 0.000
Br 2.576 2.576 2.396